K2MgCdCl6 | PBE | optimized geometry

## Properties
**D(E_F)**: 0.00 states/eV per atom
**Formation energy (no corrections)**: -1609 kJ/mol of formula units
**Magnetization**: 0.00 μB/f.u.
**Crystal system**: monoclinic
**Volume**: 26.22 Å³ per atom
**DFT total energy**: -3.246 eV per atom
**Space-group type**: No. 14

Cell lengths 7.104, 7.270, 12.391 Å; angles 90.00, 124.96, 90.00 degrees
Fractional coordinates of all 20 atoms:
1 K 0.234 0.056 0.250
2 K 0.234 0.444 0.750
3 K 0.766 0.556 0.250
4 K 0.766 0.944 0.750
5 Mg 0.000 0.000 0.500
6 Mg 0.000 0.500 0.000
7 Cd 0.500 0.000 0.000
8 Cd 0.500 0.500 0.500
9 Cl 0.161 0.213 0.961
10 Cl 0.161 0.287 0.461
11 Cl 0.250 0.701 0.962
12 Cl 0.250 0.799 0.462
13 Cl 0.319 0.012 0.743
14 Cl 0.319 0.488 0.243
15 Cl 0.681 0.512 0.757
16 Cl 0.681 0.988 0.257
17 Cl 0.750 0.201 0.538
18 Cl 0.750 0.299 0.038
19 Cl 0.839 0.713 0.539
20 Cl 0.839 0.787 0.039